Record 1
This record from Alexandria describes a relaxed structure of La2SmDyY. The functional is PBE.

The structure in POSCAR format:
```
La2SmDyY
1.0
4.230 -5.909 0.000
4.230 5.909 0.000
0.000 0.000 7.344
La Sm Dy Y
4 2 2 2
Cartesian
1.654 0.000 0.000 La
1.654 0.000 3.672 La
6.807 0.000 0.000 La
6.807 0.000 3.672 La
4.230 3.382 5.508 Sm
4.230 -3.382 1.836 Sm
4.230 0.317 5.508 Dy
4.230 -0.317 1.836 Dy
4.230 2.946 1.836 Y
4.230 -2.946 5.508 Y
```

Output
calculated volume: 36.719 A^3/atom
theoretical density: 6.146 g/cm3
E_tot: -47.38 eV for the cell shown
DOS(E_F): 1.3559 states/eV per atom


Record 2
This record from Alexandria describes a relaxed structure of La2Sm5DyY. The functional is PBE.

The structure in POSCAR format:
```
La2Sm5DyY
1.0
2.861 -10.145 0.000
2.861 10.145 0.000
0.000 0.000 10.792
La Sm Dy Y
4 10 2 2
Cartesian
2.861 7.835 5.396 La
2.861 7.771 0.909 La
2.861 -7.771 6.305 La
2.861 -7.835 0.000 La
2.861 9.830 8.506 Sm
2.861 4.488 0.827 Sm
2.861 4.110 5.087 Sm
2.861 2.295 8.513 Sm
2.861 0.384 5.491 Sm
2.861 -0.384 0.095 Sm
2.861 -2.295 3.117 Sm
2.861 -4.110 10.484 Sm
2.861 -4.488 6.223 Sm
2.861 -9.830 3.110 Sm
2.861 6.061 8.384 Dy
2.861 -6.061 2.988 Dy
2.861 1.847 2.466 Y
2.861 -1.847 7.863 Y
```

Output
calculated volume: 34.803 A^3/atom
theoretical density: 6.791 g/cm3
E_tot: -86.63 eV for the cell shown
DOS(E_F): 1.4277 states/eV per atom


Record 3
This record from Alexandria describes a relaxed structure of La2SmDy3Y6. The functional is PBE.

The structure in POSCAR format:
```
La2SmDy3Y6
1.0
3.121 -5.404 0.000
3.121 5.404 0.000
-2.076 0.000 11.701
La Sm Dy Y
2 1 3 6
Cartesian
3.121 3.606 0.000 La
3.121 -3.606 0.000 La
3.121 0.000 0.000 Sm
-1.038 0.000 5.851 Dy
2.083 1.800 5.851 Dy
2.083 -1.800 5.851 Dy
0.004 1.798 8.723 Y
1.048 0.000 2.980 Y
0.004 -1.798 8.723 Y
4.162 1.798 2.978 Y
3.118 0.000 8.721 Y
4.162 -1.798 2.978 Y
```

Output
calculated volume: 32.891 A^3/atom
theoretical density: 6.097 g/cm3
E_tot: -66.92 eV for the cell shown
DOS(E_F): 1.4101 states/eV per atom


Record 4
This record from Alexandria describes a relaxed structure of LaSmDy5Y2. The functional is PBE.

The structure in POSCAR format:
```
LaSmDy5Y2
1.0
-4.427 4.427 7.595
4.427 -4.427 7.595
4.427 4.427 -7.595
La Sm Dy Y
2 2 10 4
Cartesian
0.000 0.000 3.797 La
0.000 0.000 11.392 La
4.427 0.000 3.797 Sm
0.000 4.427 3.797 Sm
0.000 0.000 0.000 Dy
6.239 1.812 -2.039 Dy
1.812 2.615 -2.039 Dy
6.239 1.812 2.039 Dy
1.812 2.615 2.039 Dy
0.000 0.000 7.595 Dy
2.615 1.812 5.556 Dy
-1.812 2.615 5.556 Dy
2.615 1.812 9.634 Dy
-1.812 2.615 9.634 Dy
3.401 1.026 0.000 Y
3.401 -1.026 7.595 Y
1.026 5.453 0.000 Y
1.026 3.401 7.595 Y
```

Output
calculated volume: 33.081 A^3/atom
theoretical density: 7.137 g/cm3
E_tot: -85.99 eV for the cell shown
DOS(E_F): 1.2797 states/eV per atom


Record 5
This record from Alexandria describes a relaxed structure of La3SmDyY. The functional is PBE.

The structure in POSCAR format:
```
La3SmDyY
1.0
8.135 0.000 0.000
0.000 5.218 0.000
-3.336 0.000 9.849
La Sm Dy Y
6 2 2 2
Cartesian
1.210 1.304 0.428 La
-0.425 1.304 5.318 La
-1.256 3.913 7.797 La
6.054 1.304 2.053 La
5.223 3.913 4.531 La
3.588 3.913 9.421 La
0.409 3.913 2.891 Sm
4.389 1.304 6.959 Sm
2.806 1.304 3.719 Dy
1.992 3.913 6.130 Dy
3.617 3.913 1.248 Y
1.181 1.304 8.601 Y
```

Output
calculated volume: 34.836 A^3/atom
theoretical density: 6.502 g/cm3
E_tot: -60.79 eV for the cell shown
DOS(E_F): 1.8432 states/eV per atom


Record 6
This record from Alexandria describes a relaxed structure of LaSm6Dy3Y2. The functional is PBE.

The structure in POSCAR format:
```
LaSm6Dy3Y2
1.0
3.127 -5.414 0.000
3.127 5.414 0.000
-2.084 0.000 11.774
La Sm Dy Y
1 6 3 2
Cartesian
0.000 0.000 0.000 La
1.045 1.808 2.980 Sm
0.004 0.000 8.791 Sm
1.045 -1.808 2.980 Sm
3.125 1.808 8.794 Sm
4.166 0.000 2.983 Sm
3.125 -1.808 8.794 Sm
2.085 3.603 5.887 Dy
2.085 0.000 5.887 Dy
2.085 -3.603 5.887 Dy
3.127 1.803 0.000 Y
3.127 -1.803 0.000 Y
```

Output
calculated volume: 33.217 A^3/atom
theoretical density: 7.109 g/cm3
E_tot: -59.76 eV for the cell shown
DOS(E_F): 1.3499 states/eV per atom


Asked for energy of formation from the pure elements across the records above, the calculation gives 37.6; 12.9; 2.0; 27.8; 2.8; 1.7 kJ per mole of atoms in order.
Asked for M_tot across the records above, the calculation gives 0.000; 0.000; 0.000; 0.000; 0.000; 0.000 μB per atom in order.